# 1
A PBEsol-optimized structure of Ta3Os, computed with meta-GGA SCAN.

Cell and atoms, written as CIF:
```
data_Ta3Os
_chemical_formula_sum 'Ta6 Os2'
_space_group_name_H-M_alt 'P 1'
_space_group_IT_number 1
_cell_length_a 5.5473
_cell_length_b 5.5473
_cell_length_c 4.5325
_cell_angle_alpha 90.00
_cell_angle_beta 90.00
_cell_angle_gamma 109.19
loop_
_space_group_symop_operation_xyz
'x,y,z'
loop_
_atom_site_label
_atom_site_fract_x
_atom_site_fract_y
_atom_site_fract_z
Ta1 0.1231 0.8769 0.7500
Ta2 0.1279 0.3780 0.7500
Ta3 0.3780 0.1279 0.2500
Ta4 0.6220 0.8721 0.7500
Ta5 0.8721 0.6220 0.2500
Ta6 0.8769 0.1231 0.2500
Os1 0.3735 0.6265 0.2500
Os2 0.6265 0.3735 0.7500
```

Calculated values
Space-group type: No. 63
Raw total energy: -68.27 eV per atom

# 2
A PBEsol-optimized structure of CrInPtCl2, computed with meta-GGA SCAN.

Cell and atoms, written as CIF:
```
data_CrInPtCl2
_chemical_formula_sum 'Cr1 In1 Pt1 Cl2'
_space_group_name_H-M_alt 'P 1'
_space_group_IT_number 1
_cell_length_a 4.7911
_cell_length_b 4.7911
_cell_length_c 5.1527
_cell_angle_alpha 90.00
_cell_angle_beta 90.00
_cell_angle_gamma 90.00
loop_
_space_group_symop_operation_xyz
'x,y,z'
loop_
_atom_site_label
_atom_site_fract_x
_atom_site_fract_y
_atom_site_fract_z
Cr1 0.0000 0.0000 0.0000
In1 0.5000 0.5000 0.0000
Pt1 0.0000 0.0000 0.5000
Cl1 0.0000 0.5000 0.5000
Cl2 0.5000 0.0000 0.5000
```

Calculated values
Formation energy (no corrections): 0.0597 eV/atom
Space-group type: No. 123
Raw total energy: -27.52 eV per atom

# 3
A PBEsol-optimized structure of TaHg, computed with meta-GGA SCAN.

Cell and atoms, written as CIF:
```
data_TaHg
_chemical_formula_sum 'Ta1 Hg1'
_space_group_name_H-M_alt 'P 1'
_space_group_IT_number 1
_cell_length_a 4.2637
_cell_length_b 4.2637
_cell_length_c 4.2637
_cell_angle_alpha 60.00
_cell_angle_beta 60.00
_cell_angle_gamma 60.00
loop_
_space_group_symop_operation_xyz
'x,y,z'
loop_
_atom_site_label
_atom_site_fract_x
_atom_site_fract_y
_atom_site_fract_z
Ta1 0.0000 0.0000 0.0000
Hg1 0.2500 0.2500 0.2500
```

Calculated values
Space-group type: No. 216
Raw total energy: -65.59 eV per atom

# 4
A PBEsol-optimized structure of Nd2WC2, computed with meta-GGA SCAN.

Cell and atoms, written as CIF:
```
data_Nd2WC2
_chemical_formula_sum 'Nd8 W4 C8'
_space_group_name_H-M_alt 'P 1'
_space_group_IT_number 1
_cell_length_a 5.7749
_cell_length_b 5.7749
_cell_length_c 10.2626
_cell_angle_alpha 90.00
_cell_angle_beta 90.00
_cell_angle_gamma 90.00
loop_
_space_group_symop_operation_xyz
'x,y,z'
loop_
_atom_site_label
_atom_site_fract_x
_atom_site_fract_y
_atom_site_fract_z
Nd1 0.1962 0.1962 0.1567
Nd2 0.1962 0.1962 0.8433
Nd3 0.3038 0.6962 0.3433
Nd4 0.3038 0.6962 0.6567
Nd5 0.6962 0.3038 0.3433
Nd6 0.6962 0.3038 0.6567
Nd7 0.8038 0.8038 0.1567
Nd8 0.8038 0.8038 0.8433
W1 0.1775 0.1775 0.5000
W2 0.3225 0.6775 0.0000
W3 0.6775 0.3225 0.0000
W4 0.8225 0.8225 0.5000
C1 0.0000 0.0000 0.3570
C2 0.0000 0.0000 0.6430
C3 0.0000 0.5000 0.0000
C4 0.0000 0.5000 0.5000
C5 0.5000 0.0000 0.0000
C6 0.5000 0.0000 0.5000
C7 0.5000 0.5000 0.1430
C8 0.5000 0.5000 0.8570
```

Calculated values
Space-group type: No. 136
Raw total energy: -35.68 eV per atom

# 5
A PBEsol-optimized structure of LaZrS2, computed with meta-GGA SCAN.

Cell and atoms, written as CIF:
```
data_LaZrS2
_chemical_formula_sum 'La2 Zr2 S4'
_space_group_name_H-M_alt 'P 1'
_space_group_IT_number 1
_cell_length_a 7.4455
_cell_length_b 7.4455
_cell_length_c 7.4455
_cell_angle_alpha 132.67
_cell_angle_beta 132.67
_cell_angle_gamma 69.18
loop_
_space_group_symop_operation_xyz
'x,y,z'
loop_
_atom_site_label
_atom_site_fract_x
_atom_site_fract_y
_atom_site_fract_z
La1 0.0000 0.0000 0.0000
La2 0.7500 0.2500 0.5000
Zr1 0.2500 0.7500 0.5000
Zr2 0.5000 0.5000 0.0000
S1 0.1697 0.6250 0.0447
S2 0.3750 0.4197 0.5447
S3 0.5803 0.1250 0.9553
S4 0.8750 0.8303 0.4553
```

Calculated values
Formation energy (no corrections): -1.4812 eV/atom
Space-group type: No. 122
Raw total energy: -24.75 eV per atom

# 6
A PBEsol-optimized structure of TlCuHg2Pb, computed with meta-GGA SCAN.

Cell and atoms, written as CIF:
```
data_TlCuHg2Pb
_chemical_formula_sum 'Tl1 Cu1 Hg2 Pb1'
_space_group_name_H-M_alt 'P 1'
_space_group_IT_number 1
_cell_length_a 5.5203
_cell_length_b 5.5203
_cell_length_c 4.8473
_cell_angle_alpha 90.00
_cell_angle_beta 90.00
_cell_angle_gamma 90.00
loop_
_space_group_symop_operation_xyz
'x,y,z'
loop_
_atom_site_label
_atom_site_fract_x
_atom_site_fract_y
_atom_site_fract_z
Tl1 0.0000 0.0000 0.0000
Cu1 0.0000 0.0000 0.5000
Hg1 0.0000 0.5000 0.0000
Hg2 0.5000 0.0000 0.0000
Pb1 0.5000 0.5000 0.5000
```

Calculated values
Space-group type: No. 123
Raw total energy: -59.36 eV per atom

# 7
A PBEsol-optimized structure of LiTcSbW2, computed with meta-GGA SCAN.

Cell and atoms, written as CIF:
```
data_LiTcSbW2
_chemical_formula_sum 'Li1 Tc1 Sb1 W2'
_space_group_name_H-M_alt 'P 1'
_space_group_IT_number 1
_cell_length_a 4.2441
_cell_length_b 4.2441
_cell_length_c 4.2682
_cell_angle_alpha 90.00
_cell_angle_beta 90.00
_cell_angle_gamma 90.00
loop_
_space_group_symop_operation_xyz
'x,y,z'
loop_
_atom_site_label
_atom_site_fract_x
_atom_site_fract_y
_atom_site_fract_z
Li1 0.0000 0.0000 0.0000
Tc1 0.5000 0.5000 0.5000
Sb1 0.0000 0.0000 0.5000
W1 0.0000 0.5000 0.0000
W2 0.5000 0.0000 0.0000
```

Calculated values
Formation energy (no corrections): 1.5631 eV/atom
Space-group type: No. 123
Raw total energy: -41.25 eV per atom

# 8
A PBEsol-optimized structure of MnGaAu3, computed with meta-GGA SCAN.

Cell and atoms, written as CIF:
```
data_MnGaAu3
_chemical_formula_sum 'Mn1 Ga1 Au3'
_space_group_name_H-M_alt 'P 1'
_space_group_IT_number 1
_cell_length_a 4.8632
_cell_length_b 4.8632
_cell_length_c 4.8632
_cell_angle_alpha 90.00
_cell_angle_beta 90.00
_cell_angle_gamma 90.00
loop_
_space_group_symop_operation_xyz
'x,y,z'
loop_
_atom_site_label
_atom_site_fract_x
_atom_site_fract_y
_atom_site_fract_z
Mn1 0.0000 0.0000 0.0000
Ga1 0.5000 0.5000 0.5000
Au1 0.0000 0.0000 0.5000
Au2 0.0000 0.5000 0.0000
Au3 0.5000 0.0000 0.0000
```

Calculated values
Space-group type: No. 221
Raw total energy: -47.96 eV per atom

# 9
A PBEsol-optimized structure of Mn2InCl, computed with meta-GGA SCAN.

Cell and atoms, written as CIF:
```
data_Mn2InCl
_chemical_formula_sum 'Mn2 In1 Cl1'
_space_group_name_H-M_alt 'P 1'
_space_group_IT_number 1
_cell_length_a 3.0700
_cell_length_b 3.1107
_cell_length_c 7.4643
_cell_angle_alpha 90.00
_cell_angle_beta 90.00
_cell_angle_gamma 90.00
loop_
_space_group_symop_operation_xyz
'x,y,z'
loop_
_atom_site_label
_atom_site_fract_x
_atom_site_fract_y
_atom_site_fract_z
Mn1 0.0000 0.0000 0.2404
Mn2 0.0000 0.0000 0.7596
In1 0.5000 0.5000 0.0000
Cl1 0.5000 0.0000 0.5000
```

Calculated values
Excess energy over the best structure of this formula in the dataset: 0.00 eV per formula unit
Formation energy (no corrections): -0.3069 eV/atom
Space-group type: No. 47
Raw total energy: -19.78 eV per atom

# 10
A PBEsol-optimized structure of BaPdPb2Au, computed with meta-GGA SCAN.

Cell and atoms, written as CIF:
```
data_BaPdPb2Au
_chemical_formula_sum 'Ba1 Pd1 Pb2 Au1'
_space_group_name_H-M_alt 'P 1'
_space_group_IT_number 1
_cell_length_a 5.2362
_cell_length_b 5.2362
_cell_length_c 5.2525
_cell_angle_alpha 90.00
_cell_angle_beta 90.00
_cell_angle_gamma 90.00
loop_
_space_group_symop_operation_xyz
'x,y,z'
loop_
_atom_site_label
_atom_site_fract_x
_atom_site_fract_y
_atom_site_fract_z
Ba1 0.0000 0.0000 0.0000
Pd1 0.5000 0.5000 0.5000
Pb1 0.0000 0.5000 0.5000
Pb2 0.5000 0.0000 0.5000
Au1 0.5000 0.5000 0.0000
```

Calculated values
Space-group type: No. 123
Raw total energy: -58.92 eV per atom

# 11
A PBEsol-optimized structure of CrAs2Cl, computed with meta-GGA SCAN.

Cell and atoms, written as CIF:
```
data_CrAs2Cl
_chemical_formula_sum 'Cr1 As2 Cl1'
_space_group_name_H-M_alt 'P 1'
_space_group_IT_number 1
_cell_length_a 4.6653
_cell_length_b 4.6653
_cell_length_c 6.8316
_cell_angle_alpha 103.16
_cell_angle_beta 103.16
_cell_angle_gamma 36.10
loop_
_space_group_symop_operation_xyz
'x,y,z'
loop_
_atom_site_label
_atom_site_fract_x
_atom_site_fract_y
_atom_site_fract_z
Cr1 0.0000 0.0000 0.0000
As1 0.5919 0.5919 0.3252
As2 0.7379 0.7379 0.0751
Cl1 0.4034 0.4034 0.7417
```

Calculated values
Excess energy over the best structure of this formula in the dataset: 0.00 eV per formula unit
Formation energy (no corrections): -0.3237 eV/atom
Space-group type: No. 8
Raw total energy: -17.01 eV per atom

# 12
A PBEsol-optimized structure of MgTl5, computed with meta-GGA SCAN.

Cell and atoms, written as CIF:
```
data_MgTl5
_chemical_formula_sum 'Mg1 Tl5'
_space_group_name_H-M_alt 'P 1'
_space_group_IT_number 1
_cell_length_a 5.9334
_cell_length_b 5.9334
_cell_length_c 5.3713
_cell_angle_alpha 90.00
_cell_angle_beta 90.00
_cell_angle_gamma 120.00
loop_
_space_group_symop_operation_xyz
'x,y,z'
loop_
_atom_site_label
_atom_site_fract_x
_atom_site_fract_y
_atom_site_fract_z
Mg1 0.0000 0.0000 0.0000
Tl1 0.0000 0.3275 0.5000
Tl2 0.3275 0.0000 0.5000
Tl3 0.3333 0.6667 0.0000
Tl4 0.6667 0.3333 0.0000
Tl5 0.6725 0.6725 0.5000
```

Calculated values
Space-group type: No. 189
Raw total energy: -61.11 eV per atom

# 13
A PBEsol-optimized structure of ZrMnNbCd2, computed with meta-GGA SCAN.

Cell and atoms, written as CIF:
```
data_ZrMnNbCd2
_chemical_formula_sum 'Zr1 Mn1 Nb1 Cd2'
_space_group_name_H-M_alt 'P 1'
_space_group_IT_number 1
_cell_length_a 5.1946
_cell_length_b 5.1946
_cell_length_c 4.2548
_cell_angle_alpha 90.00
_cell_angle_beta 90.00
_cell_angle_gamma 90.00
loop_
_space_group_symop_operation_xyz
'x,y,z'
loop_
_atom_site_label
_atom_site_fract_x
_atom_site_fract_y
_atom_site_fract_z
Zr1 0.0000 0.0000 0.0000
Mn1 0.0000 0.0000 0.5000
Nb1 0.5000 0.5000 0.5000
Cd1 0.0000 0.5000 0.0000
Cd2 0.5000 0.0000 0.0000
```

Calculated values
Space-group type: No. 123
Raw total energy: -27.10 eV per atom